[1]
Compound: CaCrRe
Source: Alexandria
Functional: PBEsol
Structure: relaxed

Lattice parameters (Å, degrees): 4.5518 4.5518 4.5518 60.00 60.00 60.00
Each line ends with the local moment (μB).
Positions (direct):
1 Re 0.5000 0.5000 0.5000  -2.31
2 Ca 0.2500 0.2500 0.2500  -0.01
3 Cr 0.0000 0.0000 0.0000  3.64

Computed properties:
- DOS at the Fermi energy (states/eV/cell) = 1.95
- ΔH_f (0 K) (eV/atom) = 2.2463
- space-group type = No. 216


[2]
Compound: CaCrRe
Source: Alexandria
Functional: PBEsol
Structure: relaxed

Lattice parameters (Å, degrees): 2.6347 4.5795 4.5795 120.00 90.00 90.00
Positions (direct):
1 Re 0.3833 0.6667 0.3333
2 Ca 0.9884 0.0000 0.0000
3 Cr 0.6284 0.3333 0.6667

Computed properties:
- DOS at the Fermi energy (states/eV/cell) = 2.60
- ΔH_f (0 K) (eV/atom) = 0.8707
- space-group type = No. 156


[3]
Compound: CaCrRh2
Source: Alexandria
Functional: PBEsol
Structure: relaxed

Lattice parameters (Å, degrees): 3.2180 3.2180 6.5657 90.00 90.00 90.00
Each line ends with the local moment (μB).
Positions (direct):
1 Ca 0.0000 0.0000 0.4815  0.03
2 Cr 0.5000 0.5000 0.8391  1.91
3 Rh 0.0000 0.0000 0.9663  -0.14
4 Rh 0.5000 0.5000 0.2131  0.00

Computed properties:
- DOS at the Fermi energy (states/eV/cell) = 5.10
- ΔH_f (0 K) (eV/atom) = 0.2957
- space-group type = No. 99


[4]
Compound: CaCrRh2
Source: Alexandria
Functional: PBEsol
Structure: relaxed

Lattice parameters (Å, degrees): 3.0219 4.5320 4.5320 90.00 90.00 90.00
Each line ends with the local moment (μB).
Positions (direct):
1 Ca 0.5000 0.5000 0.5000  -0.01
2 Cr 0.5000 0.0000 0.0000  2.83
3 Rh 0.0000 0.0000 0.5000  -0.02
4 Rh 0.0000 0.5000 0.0000  -0.02

Computed properties:
- DOS at the Fermi energy (states/eV/cell) = 5.23
- ΔH_f (0 K) (eV/atom) = 0.1300
- space-group type = No. 123